First-principles (SCAN) data for a PBEsol-optimized structure of HfOs2, as listed in Alexandria.

Cell: 5.1576 5.1576 8.4777 Å, 90.00 90.00 120.00°
Space group P6_3/mmc (No. 194)
Symmetry-distinct sites (fractional):
Hf  0.3333  0.6667  0.0667 x4
Os  0.0000  0.0000  0.0000 x2
Os  0.1725  0.3451  0.7500 x6

Properties
As for the energy of formation from the pure elements: -50.7 kJ per mole of atoms. The volume is 195.3 Å³ per cell. The calculation puts the density at 19.010 g/cm3. The value obtained for the magnetic moment is 0.00 μB/f.u.

---

First-principles (SCAN) data for a PBEsol-optimized structure of HfOs, as listed in Alexandria.

Cell: 3.215 3.215 3.215 Å, 90.00 90.00 90.00°
Space group Pm-3m (No. 221)
Symmetry-distinct sites (fractional):
Hf  0.000  0.000  0.000 x1
Os  0.500  0.500  0.500 x1

Properties
As for the energy of formation from the pure elements: -88.7 kJ per mole of atoms. The volume is 33.2 Å³ per cell. The calculation puts the density at 18.429 g/cm3. The value obtained for the magnetic moment is 0.00 μB/f.u.